Material: Li3Ag2Pd
Method: DFT, GGA-PBE
State: relaxed

a b c (Å): 4.1892 6.7396 6.7551
angles (deg): 90.00 90.00 71.37
Atoms (fractional coordinates):
Li 0.8292 0.3416 0.7644
Ag 0.6658 0.6688 0.5000
Pd 0.6661 0.6690 0.0000
Li 0.5000 0.0000 0.2405
Ag 0.0000 0.0000 0.0000
Ag 0.3342 0.3312 0.5000
Ag 0.0000 0.0000 0.5000
Li 0.5000 0.0000 0.7595
Li 0.8292 0.3416 0.2356
Li 0.1708 0.6584 0.7644
Li 0.1708 0.6584 0.2356
Pd 0.3339 0.3310 0.0000

Total magnetic moment ... 0.0 μB per cell
Space group ... P2/m
ΔH_f (0 K) ... -0.290 eV per atom
Calculated total energy ... -3.06 eV per atom